# ScTa2Fe

ScTa2Fe after structural relaxation (PBE, the Alexandria database).

Values from the calculation:
M_tot   1.2 μB/f.u.
Distance to the lowest polymorph of the same formula   0.230 eV/atom
VASP energy   -9.3994 eV per atom
Formation energy   0.23 eV per atom

a b c (Å): 8.981 8.981 8.981
angles (deg): 19.52 19.52 19.52
Positions (direct):
1 Fe 0.505 0.505 0.505
2 Sc 0.759 0.759 0.759
3 Ta 0.996 0.996 0.996
4 Ta 0.240 0.240 0.240



# AlP2

AlP2 after structural relaxation (PBE, the Alexandria database).

Values from the calculation:
M_tot   0.0 μB/f.u.
VASP energy   -4.5215 eV per atom
Formation energy   0.33 eV per atom

a b c (Å): 4.543 4.543 5.042
angles (deg): 90.00 90.00 120.00
Positions (direct):
1 Al 0.667 0.333 0.250
2 Al 0.333 0.667 0.750
3 P 0.000 0.000 0.000
4 P 0.000 0.000 0.500
5 P 0.333 0.667 0.250
6 P 0.667 0.333 0.750



# Tb3ThTl4Se8

Tb3ThTl4Se8 after structural relaxation (PBE, the Alexandria database).

Values from the calculation:
M_tot   0.0 μB/f.u.
VASP energy   -4.9899 eV per atom
E_form (uncorrected)   -1.324 eV/atom

a b c (Å): 8.401 9.237 8.401
angles (deg): 117.08 120.00 90.00
Positions (direct):
1 Tb 0.500 0.500 0.000
2 Tb 0.500 0.500 0.500
3 Tb 0.000 0.500 0.500
4 Th 0.000 0.500 0.000
5 Tl 0.500 0.000 0.000
6 Tl 0.500 0.000 0.500
7 Tl 0.000 0.000 0.000
8 Tl 0.000 0.000 0.500
9 Se 0.237 0.708 0.971
10 Se 0.237 0.708 0.474
11 Se 0.265 0.296 0.530
12 Se 0.734 0.708 0.971
13 Se 0.266 0.292 0.029
14 Se 0.735 0.704 0.470
15 Se 0.763 0.292 0.526
16 Se 0.763 0.292 0.029



# CaMg2Cl

CaMg2Cl after structural relaxation (PBE, the Alexandria database).

Values from the calculation:
M_tot   0.0 μB/f.u.
Distance to the lowest polymorph of the same formula   0.285 eV/atom
VASP energy   -2.1561 eV per atom
E_form (uncorrected)   -0.397 eV/atom

a b c (Å): 5.911 5.911 5.911
angles (deg): 133.33 133.33 68.13
Positions (direct):
1 Ca 0.500 0.500 0.000
2 Cl 0.750 0.250 0.500
3 Mg 0.000 0.000 0.000
4 Mg 0.250 0.750 0.500



# CsTl4CdPb2

CsTl4CdPb2 after structural relaxation (PBE, the Alexandria database).

Values from the calculation:
M_tot   0.0 μB/f.u.
VASP energy   -2.3510 eV per atom
Formation energy   -0.02 eV per atom

a b c (Å): 5.553 5.553 11.052
angles (deg): 75.45 75.45 60.00
Positions (direct):
1 Cs 0.000 0.000 0.000
2 Tl 0.404 0.404 0.789
3 Tl 0.866 0.866 0.403
4 Tl 0.134 0.134 0.597
5 Tl 0.596 0.596 0.211
6 Cd 0.500 0.500 0.500
7 Pb 0.761 0.761 0.718
8 Pb 0.239 0.239 0.282



# TlI2NF

TlI2NF after structural relaxation (PBE, the Alexandria database).

Values from the calculation:
M_tot   3.3 μB/f.u.
Distance to the lowest polymorph of the same formula   0.192 eV/atom
VASP energy   -2.3087 eV per atom
E_form (uncorrected)   0.824 eV/atom

a b c (Å): 6.045 6.045 4.538
angles (deg): 90.00 90.00 90.00
Positions (direct):
1 I 0.000 0.500 0.000
2 I 0.500 0.000 0.000
3 Tl 0.000 0.000 0.000
4 N 0.000 0.000 0.500
5 F 0.500 0.500 0.500



What did the sixth record say?
# TlI2NF

TlI2NF after structural relaxation (PBE, the Alexandria database).

Values from the calculation:
M_tot   3.3 μB/f.u.
Distance to the lowest polymorph of the same formula   0.192 eV/atom
VASP energy   -2.3087 eV per atom
E_form (uncorrected)   0.824 eV/atom

a b c (Å): 6.045 6.045 4.538
angles (deg): 90.00 90.00 90.00
Positions (direct):
1 I 0.000 0.500 0.000
2 I 0.500 0.000 0.000
3 Tl 0.000 0.000 0.000
4 N 0.000 0.000 0.500
5 F 0.500 0.500 0.500



What did the second record say?
# AlP2

AlP2 after structural relaxation (PBE, the Alexandria database).

Values from the calculation:
M_tot   0.0 μB/f.u.
VASP energy   -4.5215 eV per atom
Formation energy   0.33 eV per atom

a b c (Å): 4.543 4.543 5.042
angles (deg): 90.00 90.00 120.00
Positions (direct):
1 Al 0.667 0.333 0.250
2 Al 0.333 0.667 0.750
3 P 0.000 0.000 0.000
4 P 0.000 0.000 0.500
5 P 0.333 0.667 0.250
6 P 0.667 0.333 0.750



Copy entry 2 word for word.
# AlP2

AlP2 after structural relaxation (PBE, the Alexandria database).

Values from the calculation:
M_tot   0.0 μB/f.u.
VASP energy   -4.5215 eV per atom
Formation energy   0.33 eV per atom

a b c (Å): 4.543 4.543 5.042
angles (deg): 90.00 90.00 120.00
Positions (direct):
1 Al 0.667 0.333 0.250
2 Al 0.333 0.667 0.750
3 P 0.000 0.000 0.000
4 P 0.000 0.000 0.500
5 P 0.333 0.667 0.250
6 P 0.667 0.333 0.750



What did the first record say?
# ScTa2Fe

ScTa2Fe after structural relaxation (PBE, the Alexandria database).

Values from the calculation:
M_tot   1.2 μB/f.u.
Distance to the lowest polymorph of the same formula   0.230 eV/atom
VASP energy   -9.3994 eV per atom
Formation energy   0.23 eV per atom

a b c (Å): 8.981 8.981 8.981
angles (deg): 19.52 19.52 19.52
Positions (direct):
1 Fe 0.505 0.505 0.505
2 Sc 0.759 0.759 0.759
3 Ta 0.996 0.996 0.996
4 Ta 0.240 0.240 0.240